Record 1
! MnAl3Br12 (PBE-GGA, relaxed); values from VASP
! Magnetization: 4.1 μB/f.u.
! ΔE_f (raw): -14.594 eV per formula unit
! DOS at the Fermi energy: 0.92 states/eV/atom
&SYSTEM
  ibrav = 0, nat = 32, ntyp = 3
/
ATOMIC_SPECIES
Mn 54.94 Mn.upf
Al 26.98 Al.upf
Br 79.90 Br.upf
CELL_PARAMETERS angstrom
6.276 3.624 9.998
-6.276 3.624 9.998
0.000 -7.247 9.998
ATOMIC_POSITIONS crystal
Mn 0.000 0.000 0.000
Mn 0.500 0.500 0.500
Al 0.234 0.826 0.277
Al 0.277 0.234 0.826
Al 0.326 0.734 0.777
Al 0.734 0.777 0.326
Al 0.777 0.326 0.734
Al 0.826 0.277 0.234
Br 0.057 0.814 0.461
Br 0.091 0.199 0.844
Br 0.121 0.908 0.794
Br 0.199 0.844 0.091
Br 0.214 0.316 0.985
Br 0.294 0.408 0.621
Br 0.314 0.557 0.961
Br 0.316 0.985 0.214
Br 0.344 0.699 0.591
Br 0.408 0.621 0.294
Br 0.461 0.057 0.814
Br 0.485 0.816 0.714
Br 0.557 0.961 0.314
Br 0.591 0.344 0.699
Br 0.621 0.294 0.408
Br 0.699 0.591 0.344
Br 0.714 0.485 0.816
Br 0.794 0.121 0.908
Br 0.814 0.461 0.057
Br 0.816 0.714 0.485
Br 0.844 0.091 0.199
Br 0.908 0.794 0.121
Br 0.961 0.314 0.557
Br 0.985 0.214 0.316

---

Record 2
! BaDy2RuN4 (PBE-GGA, relaxed); values from VASP
! Magnetization: 0.0 μB/f.u.
! ΔE_f (raw): -7.121 eV per formula unit
! DOS at the Fermi energy: 0.34 states/eV/atom
&SYSTEM
  ibrav = 0, nat = 16, ntyp = 4
/
ATOMIC_SPECIES
Ba 137.33 Ba.upf
Dy 162.50 Dy.upf
Ru 101.07 Ru.upf
N 14.01 N.upf
CELL_PARAMETERS angstrom
1.754 -6.125 0.000
1.754 6.125 0.000
0.000 0.000 12.041
ATOMIC_POSITIONS crystal
Ba 0.078 0.922 0.750
Ba 0.922 0.078 0.250
Dy 0.370 0.630 0.542
Dy 0.370 0.630 0.958
Dy 0.630 0.370 0.042
Dy 0.630 0.370 0.458
Ru 0.186 0.814 0.250
Ru 0.814 0.186 0.750
N 0.000 0.000 0.000
N 0.000 0.000 0.500
N 0.255 0.745 0.109
N 0.255 0.745 0.391
N 0.394 0.606 0.750
N 0.606 0.394 0.250
N 0.745 0.255 0.609
N 0.745 0.255 0.891

---

Record 3
! SrW2Br (PBE-GGA, relaxed); values from VASP
! Offset from the most stable computed form: 460 meV/atom
! Magnetization: 0.0 μB/f.u.
! ΔE_f (raw): 2.769 eV per formula unit
! DOS at the Fermi energy: 0.77 states/eV/atom
&SYSTEM
  ibrav = 0, nat = 4, ntyp = 3
/
ATOMIC_SPECIES
Sr 87.62 Sr.upf
W 183.84 W.upf
Br 79.90 Br.upf
CELL_PARAMETERS angstrom
3.382 0.000 0.000
0.000 6.274 0.000
-0.116 0.000 4.796
ATOMIC_POSITIONS crystal
Sr 0.000 0.000 0.000
W 0.263 0.500 0.181
W 0.737 0.500 0.819
Br 0.500 0.000 0.500

---

Record 4
! CaSb3O (PBE-GGA, relaxed); values from VASP
! Offset from the most stable computed form: 1660 meV/atom
! Magnetization: 0.0 μB/f.u.
! ΔE_f (raw): 5.812 eV per formula unit
! DOS at the Fermi energy: 1.63 states/eV/atom
&SYSTEM
  ibrav = 0, nat = 5, ntyp = 3
/
ATOMIC_SPECIES
Ca 40.08 Ca.upf
Sb 121.76 Sb.upf
O 16.00 O.upf
CELL_PARAMETERS angstrom
5.684 0.000 0.000
0.000 5.684 0.000
0.000 0.000 5.684
ATOMIC_POSITIONS crystal
Ca 0.000 0.000 0.000
Sb 0.000 0.000 0.500
Sb 0.000 0.500 0.000
Sb 0.500 0.000 0.000
O 0.500 0.500 0.500

---

Record 5
! Rb2AgBr6F (PBE-GGA, relaxed); values from VASP
! Magnetization: 0.0 μB/f.u.
! ΔE_f (raw): -8.132 eV per formula unit
! DOS at the Fermi energy: 0.00 states/eV/atom
&SYSTEM
  ibrav = 0, nat = 10, ntyp = 4
/
ATOMIC_SPECIES
Rb 85.47 Rb.upf
Ag 107.87 Ag.upf
Br 79.90 Br.upf
F 19.00 F.upf
CELL_PARAMETERS angstrom
-3.959 3.959 5.219
3.959 -3.959 5.219
3.959 3.959 -5.219
ATOMIC_POSITIONS crystal
Rb 0.250 0.750 0.500
Rb 0.750 0.250 0.500
Ag 0.000 0.000 0.000
Br 0.224 0.224 0.448
Br 0.224 0.776 0.000
Br 0.290 0.290 0.000
Br 0.710 0.710 0.000
Br 0.776 0.224 0.000
Br 0.776 0.776 0.552
F 0.500 0.500 0.000

---

Record 6
! UInGa2O8 (PBE-GGA, relaxed); values from VASP
! Magnetization: 0.8 μB/f.u.
! ΔE_f (raw): -23.488 eV per formula unit
! DOS at the Fermi energy: 0.64 states/eV/atom
&SYSTEM
  ibrav = 0, nat = 12, ntyp = 4
/
ATOMIC_SPECIES
U 238.03 U.upf
In 114.82 In.upf
Ga 69.72 Ga.upf
O 16.00 O.upf
CELL_PARAMETERS angstrom
3.394 -3.407 0.000
3.394 3.407 0.000
0.000 0.000 6.413
ATOMIC_POSITIONS crystal
U 0.000 0.000 0.000
In 0.000 0.000 0.500
Ga 0.500 0.500 0.258
Ga 0.500 0.500 0.742
O 0.208 0.792 0.237
O 0.208 0.792 0.763
O 0.310 0.310 0.000
O 0.315 0.315 0.500
O 0.685 0.685 0.500
O 0.690 0.690 0.000
O 0.792 0.208 0.237
O 0.792 0.208 0.763